(1)
# La3Pr5Cd, relaxed, DFT PBE
# DOS(E_F)   14.61 states/eV/f.u.
# Energy of formation from the pure elements   250 meV/atom
# V   37.151 Å³ per atom
# Magnetic moment   0.00 μB/f.u.
# Uncorrected energy   -4.1493 eV per atom
data_La3Pr5Cd
_chemical_formula_sum 'La12 Pr20 Cd4'
_symmetry_space_group_name_H-M 'C 1 2/m 1'
_symmetry_Int_Tables_number 12
_cell_length_a 10.680
_cell_length_b 8.379
_cell_length_c 14.959
_cell_angle_alpha 90.00
_cell_angle_beta 92.44
_cell_angle_gamma 90.00
loop_
_symmetry_equiv_pos_as_xyz
'x,y,z'
'-x,-y,-z'
'-x,y,-z'
'x,-y,z'
'x+1/2,y+1/2,z'
'-x+1/2,-y+1/2,-z'
'-x+1/2,y+1/2,-z'
'x+1/2,-y+1/2,z'
loop_
_atom_site_label
_atom_site_fract_x
_atom_site_fract_y
_atom_site_fract_z
La1 0.000 0.000 0.000
La2 0.000 0.000 0.500
La3 0.142 0.500 0.000
La4 0.202 0.000 0.365
Pr1 0.000 0.328 0.500
Pr2 0.009 0.500 0.742
Pr3 0.224 0.000 0.637
Pr4 0.235 0.237 0.164
Cd1 0.022 0.000 0.787


(2)
# Ba2AlIn3Ga4, relaxed, DFT PBE
# DOS(E_F)   3.24 states/eV/f.u.
# Energy of formation from the pure elements   -356 meV/atom
# V   26.248 Å³ per atom
# Magnetic moment   0.00 μB/f.u.
# Uncorrected energy   -3.1475 eV per atom
data_Ba2AlIn3Ga4
_chemical_formula_sum 'Ba2 Al1 In3 Ga4'
_symmetry_space_group_name_H-M 'P -4 m 2'
_symmetry_Int_Tables_number 115
_cell_length_a 4.808
_cell_length_b 4.808
_cell_length_c 11.356
_cell_angle_alpha 90.00
_cell_angle_beta 90.00
_cell_angle_gamma 90.00
loop_
_symmetry_equiv_pos_as_xyz
'x,y,z'
'y,-x,-z'
'-x,-y,z'
'-y,x,-z'
'-x,y,z'
'-y,-x,-z'
'x,-y,z'
'y,x,-z'
loop_
_atom_site_label
_atom_site_fract_x
_atom_site_fract_y
_atom_site_fract_z
Ba1 0.000 0.500 0.249
Al1 0.000 0.000 0.500
In1 0.000 0.500 0.871
In2 0.500 0.500 0.500
Ga1 0.000 0.000 0.000
Ga2 0.000 0.500 0.627
Ga3 0.500 0.500 0.000


(3)
# Li2ErSi2, relaxed, DFT PBE
# DOS(E_F)   1.86 states/eV/f.u.
# Raw formation energy   -0.46 eV/atom
# V   17.657 Å³ per atom
# Magnetic moment   0.00 μB/f.u.
# Uncorrected energy   -4.3091 eV per atom
data_Li2ErSi2
_chemical_formula_sum 'Li4 Er2 Si4'
_symmetry_space_group_name_H-M 'I 4/m m m'
_symmetry_Int_Tables_number 139
_symmetry_space_group_name_Hall '-I 4 2'
_cell_length_a 3.953
_cell_length_b 3.953
_cell_length_c 11.301
_cell_angle_alpha 90.00
_cell_angle_beta 90.00
_cell_angle_gamma 90.00
loop_
_atom_site_label
_atom_site_fract_x
_atom_site_fract_y
_atom_site_fract_z
Li1 0.000 0.500 0.250
Er1 0.000 0.000 0.000
Si1 0.000 0.000 0.397